[1]
Crystalline SrTmS2 at its relaxed geometry. Source: Alexandria via LeMat-Bulk, functional GGA-PBE.

It has space group C2/m (No. 12), with a = 6.918 Å, b = 3.994 Å, c = 7.116 Å, α = 90.00°, β = 108.79° and γ = 90.00°. The inequivalent atoms are Sr at (0.000, 0.000, 0.000), Tm at (0.000, 0.500, 0.500) and S at (0.241, 0.000, 0.724).

As for the formation energy from raw total energies: -194 kJ/mol of atoms. The excess energy over the best structure of this formula in the dataset comes out at 0 kJ/mol of formula units. The calculation puts the calculated volume at 186.14 Å³ per cell.

[2]
Crystalline MgScTi at its relaxed geometry. Source: Alexandria via LeMat-Bulk, functional GGA-PBE.

It has space group P3m1 (No. 156), with a = 3.0903 Å, b = 3.0903 Å, c = 7.6898 Å, α = 90.00°, β = 90.00° and γ = 120.00°. The inequivalent atoms are Mg at (0.0000, 0.0000, 0.0000), Sc at (0.3333, 0.6667, 0.6376) and Ti at (0.6667, 0.3333, 0.3323).

The excess energy over the best structure of this formula in the dataset comes out at 18 kJ/mol of formula units. The energy of formation is 1.99 kcal/mol of atoms. The calculation puts the calculated volume at 63.60 Å³ per cell.

- Which of these has the highest calculated volume?
  SrTmS2

Copy entry 1 word for word.
Crystalline SrTmS2 at its relaxed geometry. Source: Alexandria via LeMat-Bulk, functional GGA-PBE.

It has space group C2/m (No. 12), with a = 6.918 Å, b = 3.994 Å, c = 7.116 Å, α = 90.00°, β = 108.79° and γ = 90.00°. The inequivalent atoms are Sr at (0.000, 0.000, 0.000), Tm at (0.000, 0.500, 0.500) and S at (0.241, 0.000, 0.724).

As for the formation energy from raw total energies: -194 kJ/mol of atoms. The excess energy over the best structure of this formula in the dataset comes out at 0 kJ/mol of formula units. The calculation puts the calculated volume at 186.14 Å³ per cell.